[1]
Crystalline Sm2PI at its relaxed geometry, computed with PBE.

The space group is R3m (No. 160, hexagonal axes) and the conventional cell measures 4.1278, 4.1278 and 22.9723 Å, with angles of 90.00, 90.00 and 120.00 degrees. The distinct sites, in fractional coordinates, are Sm at (0.0000, 0.0000, 0.0000), Sm at (0.0000, 0.0000, 0.2051), P at (0.0000, 0.0000, 0.6012) and I at (0.0000, 0.0000, 0.7700).

The calculation puts the formation energy without anion corrections at -1355 meV/atom. The calculation puts the total magnetization at 0.0000 μB/atom.

---

[2]
Crystalline Sm4P2I at its relaxed geometry, computed with PBE.

The space group is R-3m (No. 166, hexagonal axes) and the conventional cell measures 4.0919, 4.0919 and 42.5060 Å, with angles of 90.00, 90.00 and 120.00 degrees. The distinct sites, in fractional coordinates, are Sm at (0.0000, 0.0000, 0.1276), Sm at (0.0000, 0.0000, 0.2768), P at (0.0000, 0.0000, 0.4241) and I at (0.0000, 0.0000, 0.0000).

The calculation puts the formation energy without anion corrections at -1178 meV/atom. The calculation puts the total magnetization at 0.0570 μB/atom.

---

[3]
Crystalline TbSmPI at its relaxed geometry, computed with PBE.

The space group is R3m (No. 160, hexagonal axes) and the conventional cell measures 4.1005, 4.1005 and 22.6507 Å, with angles of 90.00, 90.00 and 120.00 degrees. The distinct sites, in fractional coordinates, are Tb at (0.0000, 0.0000, 0.0000), Sm at (0.0000, 0.0000, 0.2054), P at (0.0000, 0.0000, 0.6064) and I at (0.0000, 0.0000, 0.4338).

The calculation puts the formation energy without anion corrections at -1342 meV/atom. The calculation puts the total magnetization at 0.0000 μB/atom.

---

[4]
Crystalline Sm6Te3P2I at its relaxed geometry, computed with PBE.

The space group is C2/m (No. 12) and the conventional cell measures 18.950, 4.274 and 8.820 Å, with angles of 90.00, 103.04 and 90.00 degrees. The distinct sites, in fractional coordinates, are Sm at (0.022, 0.000, 0.274), Sm at (0.175, 0.500, 0.564), Sm at (0.178, 0.500, 0.131), Te at (0.000, 0.500, 0.500), Te at (0.157, 0.000, 0.839), P at (0.172, 0.000, 0.342) and I at (0.000, 0.500, 0.000).

The calculation puts the formation energy without anion corrections at -1407 meV/atom. The calculation puts the total magnetization at 0.0000 μB/atom.

---

[5]
Crystalline SmTmPI at its relaxed geometry, computed with PBE.

The space group is R3m (No. 160, hexagonal axes) and the conventional cell measures 4.0717, 4.0717 and 22.3543 Å, with angles of 90.00, 90.00 and 120.00 degrees. The distinct sites, in fractional coordinates, are Sm at (0.0000, 0.0000, 0.0000), Tm at (0.0000, 0.0000, 0.7941), P at (0.0000, 0.0000, 0.4032) and I at (0.0000, 0.0000, 0.2269).

The calculation puts the formation energy without anion corrections at -1300 meV/atom. The calculation puts the total magnetization at 0.0000 μB/atom.

---

[6]
Crystalline SmYPI at its relaxed geometry, computed with PBE.

The space group is R3m (No. 160, hexagonal axes) and the conventional cell measures 4.0990, 4.0990 and 22.6239 Å, with angles of 90.00, 90.00 and 120.00 degrees. The distinct sites, in fractional coordinates, are Sm at (0.0000, 0.0000, 0.0000), Y at (0.0000, 0.0000, 0.2058), P at (0.0000, 0.0000, 0.5989) and I at (0.0000, 0.0000, 0.7719).

The calculation puts the formation energy without anion corrections at -1341 meV/atom. The calculation puts the total magnetization at 0.0000 μB/atom.

---

[7]
Crystalline Sn2P2I at its relaxed geometry, computed with PBE.

The space group is C2/c (No. 15) and the conventional cell measures 15.374, 4.251 and 9.869 Å, with angles of 90.00, 114.76 and 90.00 degrees. The distinct sites, in fractional coordinates, are Sn at (0.130, 0.249, 0.121), P at (0.231, 0.251, 0.593) and I at (0.000, 0.251, 0.750).

The calculation puts the formation energy without anion corrections at -84 meV/atom. The calculation puts the total magnetization at 0.0000 μB/atom. For the energy relative to the lowest polymorph listed for this composition, the calculation gives 0 meV/atom.

---

[8]
Crystalline SnPI2 at its relaxed geometry, computed with PBE.

The space group is Fm-3m (No. 225) and the conventional cell measures 7.785, 7.785 and 7.785 Å, with angles of 90.00, 90.00 and 90.00 degrees. The distinct sites, in fractional coordinates, are Sn at (0.000, 0.000, 0.000), P at (0.000, 0.000, 0.500) and I at (0.250, 0.250, 0.250).

The calculation puts the formation energy without anion corrections at 554 meV/atom. The calculation puts the total magnetization at 0.4660 μB/atom. For the energy relative to the lowest polymorph listed for this composition, the calculation gives 67 meV/atom.

---

[9]
Crystalline SnP3I at its relaxed geometry, computed with PBE.

The space group is Pm-3m (No. 221) and the conventional cell measures 5.105, 5.105 and 5.105 Å, with angles of 90.00, 90.00 and 90.00 degrees. The distinct sites, in fractional coordinates, are Sn at (0.000, 0.000, 0.000), P at (0.000, 0.000, 0.500) and I at (0.500, 0.500, 0.500).

The calculation puts the formation energy without anion corrections at 1172 meV/atom. The calculation puts the total magnetization at 0.0000 μB/atom. For the energy relative to the lowest polymorph listed for this composition, the calculation gives 0 meV/atom.

---

[10]
Crystalline Sn2P2I at its relaxed geometry, computed with PBE.

The space group is I4/mmm (No. 139) and the conventional cell measures 4.053, 4.053 and 16.602 Å, with angles of 90.00, 90.00 and 90.00 degrees. The distinct sites, in fractional coordinates, are Sn at (0.000, 0.000, 0.129), P at (0.000, 0.500, 0.250) and I at (0.000, 0.000, 0.500).

The calculation puts the formation energy without anion corrections at 86 meV/atom. The calculation puts the total magnetization at 0.0000 μB/atom. For the energy relative to the lowest polymorph listed for this composition, the calculation gives 170 meV/atom.

---

[11]
Crystalline Sn2P2I at its relaxed geometry, computed with PBE.

The space group is I4/mmm (No. 139) and the conventional cell measures 5.352, 5.352 and 8.991 Å, with angles of 90.00, 90.00 and 90.00 degrees. The distinct sites, in fractional coordinates, are Sn at (0.000, 0.500, 0.250), P at (0.000, 0.000, 0.119) and I at (0.000, 0.000, 0.500).

The calculation puts the formation energy without anion corrections at -31 meV/atom. The calculation puts the total magnetization at 0.0000 μB/atom. For the energy relative to the lowest polymorph listed for this composition, the calculation gives 53 meV/atom.

---

[12]
Crystalline SnPI2 at its relaxed geometry, computed with PBE.

The space group is I-42d (No. 122) and the conventional cell measures 8.424, 8.424 and 7.120 Å, with angles of 90.00, 90.00 and 90.00 degrees. The distinct sites, in fractional coordinates, are Sn at (0.000, 0.000, 0.000), P at (0.000, 0.000, 0.500) and I at (0.223, 0.250, 0.625).

The calculation puts the formation energy without anion corrections at 487 meV/atom. The calculation puts the total magnetization at 0.0000 μB/atom. For the energy relative to the lowest polymorph listed for this composition, the calculation gives 0 meV/atom.

---

- Which formula does entry 12 have?
  SnPI2